(1)
## K2NaHgF6 (GGA-PBE)

Data for crystalline K2NaHgF6 at its relaxed geometry.

The structure in CIF format:
```
data_K2NaHgF6
_chemical_formula_sum 'K12 Na6 Hg6 F36'
_cell_length_a 5.8911
_cell_length_b 5.8911
_cell_length_c 31.1442
_cell_angle_alpha 90.00
_cell_angle_beta 90.00
_cell_angle_gamma 120.00
_symmetry_space_group_name_H-M 'R -3 m'
_symmetry_Int_Tables_number 166
_symmetry_space_group_name_Hall '-R 3 2"'
loop_
_atom_site_label
_atom_site_type_symbol
_atom_site_fract_x
_atom_site_fract_y
_atom_site_fract_z
K1 K 0.0000 0.0000 0.1307
K2 K 0.0000 0.0000 0.2793
Na1 Na 0.0000 0.0000 0.4122
Hg1 Hg 0.0000 0.0000 0.0000
Hg2 Hg 0.0000 0.0000 0.5000
F1 F 0.0071 0.5036 0.7092
F2 F 0.0170 0.5085 0.8752
```

As for the calculated total energy: -3.567 eV/atom. For the density, the calculation gives 4.425 g/cm3.

(2)
## K2NaHgF6 (GGA-PBE)

Data for crystalline K2NaHgF6 at its relaxed geometry.

The structure in CIF format:
```
data_K2NaHgF6
_chemical_formula_sum 'K8 Na4 Hg4 F24'
_cell_length_a 12.800
_cell_length_b 7.280
_cell_length_c 8.702
_cell_angle_alpha 90.00
_cell_angle_beta 132.17
_cell_angle_gamma 90.00
_symmetry_space_group_name_H-M 'C 1 2/c 1'
_symmetry_Int_Tables_number 15
loop_
_symmetry_equiv_pos_as_xyz
'x,y,z'
'-x,-y,-z'
'-x,y,-z+1/2'
'x,-y,z+1/2'
'x+1/2,y+1/2,z'
'-x+1/2,-y+1/2,-z'
'-x+1/2,y+1/2,-z+1/2'
'x+1/2,-y+1/2,z+1/2'
loop_
_atom_site_label
_atom_site_type_symbol
_atom_site_fract_x
_atom_site_fract_y
_atom_site_fract_z
K1 K 0.239 0.170 0.241
Na1 Na 0.000 0.010 0.250
Hg1 Hg 0.000 0.472 0.250
F1 F 0.015 0.230 0.441
F2 F 0.122 0.249 0.871
F3 F 0.224 0.424 0.434
```

As for the calculated total energy: -3.459 eV/atom. For the density, the calculation gives 4.596 g/cm3.

(3)
## K2RbHgF6 (GGA-PBE)

Data for crystalline K2RbHgF6 at its relaxed geometry.

The structure in CIF format:
```
data_K2RbHgF6
_chemical_formula_sum 'K8 Rb4 Hg4 F24'
_cell_length_a 9.108
_cell_length_b 9.108
_cell_length_c 9.108
_cell_angle_alpha 90.00
_cell_angle_beta 90.00
_cell_angle_gamma 90.00
_symmetry_space_group_name_H-M 'F m -3 m'
_symmetry_Int_Tables_number 225
_symmetry_space_group_name_Hall '-F 4 2 3'
loop_
_atom_site_label
_atom_site_type_symbol
_atom_site_fract_x
_atom_site_fract_y
_atom_site_fract_z
K1 K 0.250 0.250 0.250
Rb1 Rb 0.000 0.000 0.000
Hg1 Hg 0.000 0.000 0.500
F1 F 0.000 0.000 0.265
```

As for the calculated total energy: -3.471 eV/atom. For the density, the calculation gives 4.204 g/cm3.

(4)
## LiHgF4 (GGA-PBE)

Data for crystalline LiHgF4 at its relaxed geometry.

The structure in CIF format:
```
data_LiHgF4
_chemical_formula_sum 'Li2 Hg2 F8'
_cell_length_a 5.393
_cell_length_b 4.842
_cell_length_c 5.976
_cell_angle_alpha 90.00
_cell_angle_beta 109.69
_cell_angle_gamma 90.00
_symmetry_space_group_name_H-M 'P 1 21/c 1'
_symmetry_Int_Tables_number 14
loop_
_symmetry_equiv_pos_as_xyz
'x,y,z'
'-x,-y,-z'
'-x,y+1/2,-z+1/2'
'x,-y+1/2,z+1/2'
loop_
_atom_site_label
_atom_site_type_symbol
_atom_site_fract_x
_atom_site_fract_y
_atom_site_fract_z
Li1 Li 0.000 0.000 0.000
Hg1 Hg 0.500 0.000 0.500
F1 F 0.133 0.195 0.326
F2 F 0.336 0.655 0.600
```

As for the calculated total energy: -3.285 eV/atom. For the density, the calculation gives 6.409 g/cm3.

(5)
## Rb2LiHgF6 (GGA-PBE)

Data for crystalline Rb2LiHgF6 at its relaxed geometry.

The structure in CIF format:
```
data_Rb2LiHgF6
_chemical_formula_sum 'Rb8 Li4 Hg4 F24'
_cell_length_a 8.330
_cell_length_b 8.330
_cell_length_c 8.330
_cell_angle_alpha 90.00
_cell_angle_beta 90.00
_cell_angle_gamma 90.00
_symmetry_space_group_name_H-M 'F m -3 m'
_symmetry_Int_Tables_number 225
_symmetry_space_group_name_Hall '-F 4 2 3'
loop_
_atom_site_label
_atom_site_type_symbol
_atom_site_fract_x
_atom_site_fract_y
_atom_site_fract_z
Rb1 Rb 0.250 0.250 0.250
Li1 Li 0.000 0.000 0.000
Hg1 Hg 0.000 0.000 0.500
F1 F 0.000 0.000 0.238
```

As for the calculated total energy: -3.678 eV/atom. For the density, the calculation gives 5.660 g/cm3.

(6)
## Rb2LiHgF6 (GGA-PBE)

Data for crystalline Rb2LiHgF6 at its relaxed geometry.

The structure in CIF format:
```
data_Rb2LiHgF6
_chemical_formula_sum 'Rb4 Li2 Hg2 F12'
_cell_length_a 5.825
_cell_length_b 5.829
_cell_length_c 8.253
_cell_angle_alpha 90.02
_cell_angle_beta 90.00
_cell_angle_gamma 90.04
_symmetry_space_group_name_H-M 'P -1'
_symmetry_Int_Tables_number 2
loop_
_symmetry_equiv_pos_as_xyz
'x,y,z'
'-x,-y,-z'
loop_
_atom_site_label
_atom_site_type_symbol
_atom_site_fract_x
_atom_site_fract_y
_atom_site_fract_z
Rb1 Rb 0.000 0.000 0.250
Rb2 Rb 0.500 0.500 0.250
Li1 Li 0.000 0.500 0.000
Li2 Li 0.500 0.000 0.500
Hg1 Hg 0.000 0.500 0.500
Hg2 Hg 0.500 0.000 0.000
F1 F 0.001 0.500 0.237
F2 F 0.232 0.741 0.999
F3 F 0.241 0.267 0.000
F4 F 0.261 0.235 0.500
F5 F 0.266 0.761 0.501
F6 F 0.499 0.000 0.263
```

As for the calculated total energy: -3.657 eV/atom. For the density, the calculation gives 5.836 g/cm3.

(7)
## Rb2LiHgF6 (GGA-PBE)

Data for crystalline Rb2LiHgF6 at its relaxed geometry.

The structure in CIF format:
```
data_Rb2LiHgF6
_chemical_formula_sum 'Rb12 Li6 Hg6 F36'
_cell_length_a 5.8808
_cell_length_b 5.8808
_cell_length_c 29.9669
_cell_angle_alpha 90.00
_cell_angle_beta 90.00
_cell_angle_gamma 120.00
_symmetry_space_group_name_H-M 'R -3 m'
_symmetry_Int_Tables_number 166
_symmetry_space_group_name_Hall '-R 3 2"'
loop_
_atom_site_label
_atom_site_type_symbol
_atom_site_fract_x
_atom_site_fract_y
_atom_site_fract_z
Rb1 Rb 0.0000 0.0000 0.1246
Rb2 Rb 0.0000 0.0000 0.2889
Li1 Li 0.0000 0.0000 0.4085
Hg1 Hg 0.0000 0.0000 0.0000
Hg2 Hg 0.0000 0.0000 0.5000
F1 F 0.0021 0.5011 0.1208
F2 F 0.0147 0.5073 0.2909
```

As for the calculated total energy: -3.658 eV/atom. For the density, the calculation gives 5.467 g/cm3.

(8)
## Rb2LiHgF6 (GGA-PBE)

Data for crystalline Rb2LiHgF6 at its relaxed geometry.

The structure in CIF format:
```
data_Rb2LiHgF6
_chemical_formula_sum 'Rb4 Li2 Hg2 F12'
_cell_length_a 5.889
_cell_length_b 5.890
_cell_length_c 10.212
_cell_angle_alpha 90.00
_cell_angle_beta 125.21
_cell_angle_gamma 90.00
_symmetry_space_group_name_H-M 'P 1 21/c 1'
_symmetry_Int_Tables_number 14
loop_
_symmetry_equiv_pos_as_xyz
'x,y,z'
'-x,-y,-z'
'-x,y+1/2,-z+1/2'
'x,-y+1/2,z+1/2'
loop_
_atom_site_label
_atom_site_type_symbol
_atom_site_fract_x
_atom_site_fract_y
_atom_site_fract_z
Rb1 Rb 0.250 0.000 0.250
Li1 Li 0.000 0.000 0.500
Hg1 Hg 0.500 0.000 0.000
F1 F 0.233 0.242 0.499
F2 F 0.239 0.000 0.738
F3 F 0.241 0.733 0.000
```

As for the calculated total energy: -3.679 eV/atom. For the density, the calculation gives 5.651 g/cm3.

(9)
## Rb2LiHgF6 (GGA-PBE)

Data for crystalline Rb2LiHgF6 at its relaxed geometry.

The structure in CIF format:
```
data_Rb2LiHgF6
_chemical_formula_sum 'Rb8 Li4 Hg4 F24'
_cell_length_a 11.223
_cell_length_b 9.041
_cell_length_c 6.999
_cell_angle_alpha 90.00
_cell_angle_beta 111.86
_cell_angle_gamma 90.00
_symmetry_space_group_name_H-M 'C 1 2/c 1'
_symmetry_Int_Tables_number 15
loop_
_symmetry_equiv_pos_as_xyz
'x,y,z'
'-x,-y,-z'
'-x,y,-z+1/2'
'x,-y,z+1/2'
'x+1/2,y+1/2,z'
'-x+1/2,-y+1/2,-z'
'-x+1/2,y+1/2,-z+1/2'
'x+1/2,-y+1/2,z+1/2'
loop_
_atom_site_label
_atom_site_type_symbol
_atom_site_fract_x
_atom_site_fract_y
_atom_site_fract_z
Rb1 Rb 0.200 0.123 0.204
Li1 Li 0.000 0.246 0.750
Hg1 Hg 0.000 0.409 0.250
F1 F 0.087 0.242 0.466
F2 F 0.095 0.413 0.952
F3 F 0.143 0.137 0.808
```

As for the calculated total energy: -3.580 eV/atom. For the density, the calculation gives 4.963 g/cm3.

(10)
## Rb2LiHgF6 (GGA-PBE)

Data for crystalline Rb2LiHgF6 at its relaxed geometry.

The structure in CIF format:
```
data_Rb2LiHgF6
_chemical_formula_sum 'Rb4 Li2 Hg2 F12'
_cell_length_a 10.205
_cell_length_b 5.888
_cell_length_c 5.894
_cell_angle_alpha 90.00
_cell_angle_beta 125.22
_cell_angle_gamma 90.00
_symmetry_space_group_name_H-M 'C 1 2/m 1'
_symmetry_Int_Tables_number 12
loop_
_symmetry_equiv_pos_as_xyz
'x,y,z'
'-x,-y,-z'
'-x,y,-z'
'x,-y,z'
'x+1/2,y+1/2,z'
'-x+1/2,-y+1/2,-z'
'-x+1/2,y+1/2,-z'
'x+1/2,-y+1/2,z'
loop_
_atom_site_label
_atom_site_type_symbol
_atom_site_fract_x
_atom_site_fract_y
_atom_site_fract_z
Rb1 Rb 0.250 0.000 0.250
Li1 Li 0.000 0.000 0.500
Hg1 Hg 0.000 0.500 0.000
F1 F 0.002 0.239 0.264
F2 F 0.237 0.000 0.740
```

As for the calculated total energy: -3.679 eV/atom. For the density, the calculation gives 5.653 g/cm3.

(11)
## Rb2LiHgF6 (GGA-PBE)

Data for crystalline Rb2LiHgF6 at its relaxed geometry.

The structure in CIF format:
```
data_Rb2LiHgF6
_chemical_formula_sum 'Rb4 Li2 Hg2 F12'
_cell_length_a 5.886
_cell_length_b 5.886
_cell_length_c 8.357
_cell_angle_alpha 90.00
_cell_angle_beta 90.00
_cell_angle_gamma 90.00
_symmetry_space_group_name_H-M 'I 4/m'
_symmetry_Int_Tables_number 87
_symmetry_space_group_name_Hall '-I 4'
loop_
_atom_site_label
_atom_site_type_symbol
_atom_site_fract_x
_atom_site_fract_y
_atom_site_fract_z
Rb1 Rb 0.000 0.500 0.250
Li1 Li 0.000 0.000 0.000
Hg1 Hg 0.000 0.000 0.500
F1 F 0.000 0.000 0.238
F2 F 0.234 0.241 0.000
```

As for the calculated total energy: -3.679 eV/atom. For the density, the calculation gives 5.650 g/cm3.

(12)
## LiSnHg2F6 (GGA-PBE)

Data for crystalline LiSnHg2F6 at its relaxed geometry.

The structure in CIF format:
```
data_LiSnHg2F6
_chemical_formula_sum 'Li4 Sn4 Hg8 F24'
_cell_length_a 8.119
_cell_length_b 8.119
_cell_length_c 8.119
_cell_angle_alpha 90.00
_cell_angle_beta 90.00
_cell_angle_gamma 90.00
_symmetry_space_group_name_H-M 'F m -3 m'
_symmetry_Int_Tables_number 225
_symmetry_space_group_name_Hall '-F 4 2 3'
loop_
_atom_site_label
_atom_site_type_symbol
_atom_site_fract_x
_atom_site_fract_y
_atom_site_fract_z
Li1 Li 0.000 0.000 0.000
Sn1 Sn 0.000 0.000 0.500
Hg1 Hg 0.250 0.250 0.250
F1 F 0.000 0.000 0.252
```

As for the calculated total energy: -3.633 eV/atom. For the density, the calculation gives 7.954 g/cm3.

(13)
## LiTl2HgF6 (GGA-PBE)

Data for crystalline LiTl2HgF6 at its relaxed geometry.

The structure in CIF format:
```
data_LiTl2HgF6
_chemical_formula_sum 'Li2 Tl4 Hg2 F12'
_cell_length_a 9.976
_cell_length_b 5.721
_cell_length_c 5.978
_cell_angle_alpha 90.00
_cell_angle_beta 125.40
_cell_angle_gamma 90.00
_symmetry_space_group_name_H-M 'C 1 2/m 1'
_symmetry_Int_Tables_number 12
loop_
_symmetry_equiv_pos_as_xyz
'x,y,z'
'-x,-y,-z'
'-x,y,-z'
'x,-y,z'
'x+1/2,y+1/2,z'
'-x+1/2,-y+1/2,-z'
'-x+1/2,y+1/2,-z'
'x+1/2,-y+1/2,z'
loop_
_atom_site_label
_atom_site_type_symbol
_atom_site_fract_x
_atom_site_fract_y
_atom_site_fract_z
Li1 Li 0.000 0.000 0.000
Tl1 Tl 0.248 0.500 0.237
Hg1 Hg 0.000 0.500 0.500
F1 F 0.061 0.240 0.838
F2 F 0.229 0.000 0.331
```

As for the calculated total energy: -3.593 eV/atom. For the density, the calculation gives 8.722 g/cm3.

(14)
## MgHg3F (GGA-PBE)

Data for crystalline MgHg3F at its relaxed geometry.

The structure in CIF format:
```
data_MgHg3F
_chemical_formula_sum 'Mg2 Hg6 F2'
_cell_length_a 6.3379
_cell_length_b 6.3379
_cell_length_c 6.3768
_cell_angle_alpha 90.00
_cell_angle_beta 90.00
_cell_angle_gamma 120.00
_symmetry_space_group_name_H-M 'P -6 c 2'
_symmetry_Int_Tables_number 188
_symmetry_space_group_name_Hall 'P -6c 2'
loop_
_atom_site_label
_atom_site_type_symbol
_atom_site_fract_x
_atom_site_fract_y
_atom_site_fract_z
Mg1 Mg 0.0000 0.0000 0.0000
Hg1 Hg 0.0390 0.3919 0.2500
F1 F 0.6667 0.3333 0.0000
```

As for the calculated total energy: -1.368 eV/atom. For the density, the calculation gives 9.657 g/cm3.

(15)
## MgHg2Te2F2 (GGA-PBE)

Data for crystalline MgHg2Te2F2 at its relaxed geometry.

The structure in CIF format:
```
data_MgHg2Te2F2
_chemical_formula_sum 'Mg1 Hg2 Te2 F2'
_cell_length_a 4.050
_cell_length_b 4.050
_cell_length_c 9.279
_cell_angle_alpha 90.00
_cell_angle_beta 90.00
_cell_angle_gamma 90.00
_symmetry_space_group_name_H-M 'P -4 m 2'
_symmetry_Int_Tables_number 115
loop_
_symmetry_equiv_pos_as_xyz
'x,y,z'
'y,-x,-z'
'-x,-y,z'
'-y,x,-z'
'-x,y,z'
'-y,-x,-z'
'x,-y,z'
'y,x,-z'
loop_
_atom_site_label
_atom_site_type_symbol
_atom_site_fract_x
_atom_site_fract_y
_atom_site_fract_z
Mg1 Mg 0.000 0.000 0.000
Hg1 Hg 0.000 0.500 0.341
Te1 Te 0.000 0.500 0.793
F1 F 0.000 0.000 0.500
F2 F 0.500 0.500 0.500
```

As for the calculated total energy: -2.477 eV/atom. For the density, the calculation gives 7.842 g/cm3.

(16)
## HgNF (GGA-PBE)

Data for crystalline HgNF at its relaxed geometry.

The structure in CIF format:
```
data_HgNF
_chemical_formula_sum 'Hg4 N4 F4'
_cell_length_a 7.535
_cell_length_b 3.614
_cell_length_c 8.650
_cell_angle_alpha 90.00
_cell_angle_beta 99.05
_cell_angle_gamma 90.00
_symmetry_space_group_name_H-M 'P 1 21/c 1'
_symmetry_Int_Tables_number 14
loop_
_symmetry_equiv_pos_as_xyz
'x,y,z'
'-x,-y,-z'
'-x,y+1/2,-z+1/2'
'x,-y+1/2,z+1/2'
loop_
_atom_site_label
_atom_site_type_symbol
_atom_site_fract_x
_atom_site_fract_y
_atom_site_fract_z
Hg1 Hg 0.094 0.200 0.106
N1 N 0.442 0.083 0.514
F1 F 0.211 0.624 0.264
```

As for the calculated total energy: -4.174 eV/atom. For the density, the calculation gives 6.670 g/cm3.

(17)
## Na2HgF5 (GGA-PBE)

Data for crystalline Na2HgF5 at its relaxed geometry.

The structure in CIF format:
```
data_Na2HgF5
_chemical_formula_sum 'Na8 Hg4 F20'
_cell_length_a 4.371
_cell_length_b 10.834
_cell_length_c 10.553
_cell_angle_alpha 90.00
_cell_angle_beta 90.00
_cell_angle_gamma 90.00
_symmetry_space_group_name_H-M 'C m c m'
_symmetry_Int_Tables_number 63
_symmetry_space_group_name_Hall '-C 2c 2'
loop_
_atom_site_label
_atom_site_type_symbol
_atom_site_fract_x
_atom_site_fract_y
_atom_site_fract_z
Na1 Na 0.000 0.153 0.071
Hg1 Hg 0.000 0.177 0.750
F1 F 0.000 0.044 0.607
F2 F 0.000 0.256 0.250
F3 F 0.000 0.303 0.590
```

As for the calculated total energy: -3.457 eV/atom. For the density, the calculation gives 4.540 g/cm3.

(18)
## Na3HgF6 (GGA-PBE)

Data for crystalline Na3HgF6 at its relaxed geometry.

The structure in CIF format:
```
data_Na3HgF6
_chemical_formula_sum 'Na6 Hg2 F12'
_cell_length_a 5.754
_cell_length_b 5.754
_cell_length_c 8.354
_cell_angle_alpha 90.00
_cell_angle_beta 90.00
_cell_angle_gamma 90.00
_symmetry_space_group_name_H-M 'I 4/m'
_symmetry_Int_Tables_number 87
_symmetry_space_group_name_Hall '-I 4'
loop_
_atom_site_label
_atom_site_type_symbol
_atom_site_fract_x
_atom_site_fract_y
_atom_site_fract_z
Na1 Na 0.000 0.000 0.000
Na2 Na 0.000 0.500 0.250
Hg1 Hg 0.000 0.000 0.500
F1 F 0.000 0.000 0.247
F2 F 0.154 0.343 0.000
```

As for the calculated total energy: -3.547 eV/atom. For the density, the calculation gives 4.606 g/cm3.

(19)
## NaHgSO4F (GGA-PBE)

Data for crystalline NaHgSO4F at its relaxed geometry.

The structure in CIF format:
```
data_NaHgSO4F
_chemical_formula_sum 'Na4 Hg4 S4 O16 F4'
_cell_length_a 6.737
_cell_length_b 9.115
_cell_length_c 7.237
_cell_angle_alpha 90.00
_cell_angle_beta 112.15
_cell_angle_gamma 90.00
_symmetry_space_group_name_H-M 'C 1 2/c 1'
_symmetry_Int_Tables_number 15
loop_
_symmetry_equiv_pos_as_xyz
'x,y,z'
'-x,-y,-z'
'-x,y,-z+1/2'
'x,-y,z+1/2'
'x+1/2,y+1/2,z'
'-x+1/2,-y+1/2,-z'
'-x+1/2,y+1/2,-z+1/2'
'x+1/2,-y+1/2,z+1/2'
loop_
_atom_site_label
_atom_site_type_symbol
_atom_site_fract_x
_atom_site_fract_y
_atom_site_fract_z
Na1 Na 0.000 0.138 0.250
Hg1 Hg 0.000 0.500 0.000
S1 S 0.000 0.186 0.750
O1 O 0.134 0.090 0.917
O2 O 0.137 0.279 0.677
F1 F 0.000 0.371 0.250
```

As for the calculated total energy: -4.812 eV/atom. For the density, the calculation gives 5.465 g/cm3.